[1]
Density functional theory data (PBE-GGA) for ZrMn2Cl after structural relaxation.

Output
For the uncorrected formation energy, the calculation gives 257.0 meV/atom. The value obtained for the density is 5.40 g/cm³. For the total energy, the calculation gives -6.9265 eV per atom.

abc: 3.1195 5.1122 9.1222
angles: 90.00 90.00 90.00
Closest atoms and distances in Å follow each position.
Space group Imm2 (No. 44)
Symmetry-distinct sites (fractional):
1 Zr 0.0000 0.0000 0.0000 (multiplicity 2)  2 Cl 2.71, 6 Mn 2.92-3.00
2 Mn 0.0000 0.0000 0.4753 (multiplicity 2)  2 Cl 2.64, 2 Mn 2.79
3 Mn 0.0000 0.5000 0.2289 (multiplicity 2)  4 Mn 2.79-3.12, 2 Zr 2.92, 4 Cl 3.00
4 Cl 0.0000 0.5000 0.7425 (multiplicity 2)  2 Mn 2.64, 2 Zr 2.71

---

[2]
Density functional theory data (PBE-GGA) for ZrMnCl2 after structural relaxation.

Output
For the uncorrected formation energy, the calculation gives 135.2 meV/atom. The value obtained for the density is 4.63 g/cm³. For the total energy, the calculation gives -5.2175 eV per atom.

abc: 5.5114 5.5114 10.2583
angles: 90.00 90.00 90.00
Closest atoms and distances in Å follow each position.
Space group I-42d (No. 122)
Symmetry-distinct sites (fractional):
1 Zr 0.0000 0.0000 0.0000 (multiplicity 4)  4 Cl 2.51
2 Mn 0.0000 0.0000 0.5000 (multiplicity 4)  4 Cl 2.17
3 Cl 0.1976 0.2500 0.6250 (multiplicity 8)  2 Mn 2.17

---

Which of these has the highest uncorrected formation energy?
ZrMn2Cl